! PBE-GGA U2Cu2SbAsP2, optimized geometry; values from VASP
! Calculated volume: 148.1 Å³ per cell
! Final energy: -53.301 eV for the cell shown
! Space group: P-4m2 (115)
&SYSTEM
  ibrav = 0, nat = 8, ntyp = 5
/
ATOMIC_SPECIES
P 30.97 P.upf
Cu 63.55 Cu.upf
U 238.03 U.upf
Sb 121.76 Sb.upf
As 74.92 As.upf
CELL_PARAMETERS angstrom
-0.696 -3.768 0.845
2.676 -1.089 -2.656
6.825 0.258 6.770
ATOMIC_POSITIONS angstrom
P 2.002 -1.795 2.753
Cu 4.402 -2.300 2.479
U 3.050 -0.480 0.371
P 5.813 -0.376 3.111
Sb 0.000 0.000 0.000
Cu 3.412 0.129 3.385
As 0.990 -2.429 -0.906
U 4.765 -1.691 5.494


! PBE-GGA Cu2Si2AsP3, optimized geometry; values from VASP
! Calculated volume: 149.5 Å³ per cell
! Final energy: -39.893 eV for the cell shown
! Space group: C2 (5)
&SYSTEM
  ibrav = 0, nat = 8, ntyp = 4
/
ATOMIC_SPECIES
Cu 63.55 Cu.upf
P 30.97 P.upf
As 74.92 As.upf
Si 28.09 Si.upf
CELL_PARAMETERS angstrom
5.827 -2.659 0.000
5.827 2.659 0.000
-2.446 0.000 4.825
ATOMIC_POSITIONS angstrom
Cu 5.238 -1.931 4.201
P 8.122 -0.688 1.221
As 5.827 2.028 0.000
P 1.086 -0.688 3.604
Si 2.836 0.621 2.971
Si 6.372 0.621 1.855
Cu 3.970 -1.931 0.624
P 4.604 -0.690 2.413